Below is an optimized crystal structure of SrTa2Cr, with properties calculated at the PBE level.

a b c (Å): 3.135 3.135 8.732
angles (deg): 90.00 90.00 97.45
Atoms (fractional coordinates):
Sr  0.000  0.000  0.000
Ta  0.500  0.500  0.332
Ta  0.500  0.500  0.668
Cr  0.000  0.000  0.500

Output
Energy relative to the elements = 0.590 eV/atom
Energy above the lowest structure with this stoichiometry = 0 meV/atom
Symmetry = Cmmm

---

Below is an optimized crystal structure of HgAsP2O, with properties calculated at the PBE level.

a b c (Å): 5.019 5.019 4.039
angles (deg): 90.00 90.00 90.00
Atoms (fractional coordinates):
Hg  0.000  0.000  0.000
As  0.500  0.500  0.500
P  0.000  0.500  0.000
P  0.500  0.000  0.000
O  0.000  0.000  0.500

Output
Energy above the lowest structure with this stoichiometry = 704 meV/atom
Symmetry = P4/mmm

---

Below is an optimized crystal structure of Zn2ReRu, with properties calculated at the PBE level.

a b c (Å): 8.899 8.899 8.899
angles (deg): 17.79 17.79 17.79
Atoms (fractional coordinates):
Zn  0.248  0.248  0.248
Zn  0.752  0.752  0.752
Re  0.000  0.000  0.000
Ru  0.500  0.500  0.500

Output
Energy relative to the elements = 0.163 eV/atom
Energy above the lowest structure with this stoichiometry = 191 meV/atom
Symmetry = R-3m

---

Below is an optimized crystal structure of ScNi2PbCl, with properties calculated at the PBE level.

a b c (Å): 4.506 4.506 6.287
angles (deg): 90.00 90.00 90.00
Atoms (fractional coordinates):
Sc  0.000  0.000  0.000
Ni  0.000  0.500  0.000
Ni  0.500  0.000  0.000
Pb  0.000  0.000  0.500
Cl  0.500  0.500  0.500

Output
Symmetry = P4/mmm
Final energy = -20.0 eV per cell